--- P ---
Nd4IrPd | GGA-PBE | relaxed

Cell and atoms, written as CIF:
```
data_Nd4IrPd
_chemical_formula_sum 'Nd8 Ir2 Pd2'
_cell_length_a 7.138
_cell_length_b 7.138
_cell_length_c 6.515
_cell_angle_alpha 90.00
_cell_angle_beta 90.00
_cell_angle_gamma 90.00
_space_group_name_H-M_alt 'P 4/m c c'
_space_group_IT_number 124
_space_group_name_Hall '-P 4 2c'
loop_
_atom_site_label
_atom_site_fract_x
_atom_site_fract_y
_atom_site_fract_z
Nd1 0.176 0.313 0.000
Ir1 0.000 0.000 0.250
Pd1 0.500 0.500 0.250
```


--- Q ---
Nd4IrPd | GGA-PBE | relaxed

Cell and atoms, written as CIF:
```
data_Nd4IrPd
_chemical_formula_sum 'Nd8 Ir2 Pd2'
_cell_length_a 7.160
_cell_length_b 7.117
_cell_length_c 7.164
_cell_angle_alpha 90.00
_cell_angle_beta 92.64
_cell_angle_gamma 90.00
_space_group_name_H-M_alt 'P 1 21/c 1'
_space_group_IT_number 14
loop_
_space_group_symop_operation_xyz
'x,y,z'
'-x,-y,-z'
'-x,y+1/2,-z+1/2'
'x,-y+1/2,z+1/2'
loop_
_atom_site_label
_atom_site_fract_x
_atom_site_fract_y
_atom_site_fract_z
Nd1 0.163 0.170 0.181
Nd2 0.327 0.667 0.158
Ir1 0.000 0.000 0.500
Pd1 0.500 0.000 0.000
```


Which one sits at the top of the stability order? P does.


--- P ---
NdSmIrPd | GGA-PBE | relaxed

Cell and atoms, written as CIF:
```
data_NdSmIrPd
_chemical_formula_sum 'Nd4 Sm4 Ir4 Pd4'
_cell_length_a 7.115
_cell_length_b 7.115
_cell_length_c 7.115
_cell_angle_alpha 90.00
_cell_angle_beta 90.00
_cell_angle_gamma 90.00
_space_group_name_H-M_alt 'F -4 3 m'
_space_group_IT_number 216
_space_group_name_Hall 'F -4 2 3'
loop_
_atom_site_label
_atom_site_fract_x
_atom_site_fract_y
_atom_site_fract_z
Nd1 0.000 0.000 0.000
Sm1 0.000 0.000 0.500
Ir1 0.250 0.250 0.250
Pd1 0.250 0.250 0.750
```


--- Q ---
NdSmIrPd | GGA-PBE | relaxed

Cell and atoms, written as CIF:
```
data_NdSmIrPd
_chemical_formula_sum 'Nd2 Sm2 Ir2 Pd2'
_cell_length_a 4.504
_cell_length_b 3.869
_cell_length_c 10.782
_cell_angle_alpha 90.00
_cell_angle_beta 90.00
_cell_angle_gamma 90.00
_space_group_name_H-M_alt 'A m m 2'
_space_group_IT_number 38
loop_
_space_group_symop_operation_xyz
'x,y,z'
'-x,-y,z'
'-x,y,z'
'x,-y,z'
'x,y+1/2,z+1/2'
'-x,-y+1/2,z+1/2'
'-x,y+1/2,z+1/2'
'x,-y+1/2,z+1/2'
loop_
_atom_site_label
_atom_site_fract_x
_atom_site_fract_y
_atom_site_fract_z
Nd1 0.000 0.000 0.000
Sm1 0.500 0.000 0.277
Ir1 0.000 0.000 0.728
Pd1 0.500 0.000 0.556
```


Which one sits at the top of the stability order? Q does.


--- P ---
NdThIrPd | GGA-PBE | relaxed

Cell and atoms, written as CIF:
```
data_NdThIrPd
_chemical_formula_sum 'Nd2 Th2 Ir2 Pd2'
_cell_length_a 4.231
_cell_length_b 3.938
_cell_length_c 11.581
_cell_angle_alpha 90.00
_cell_angle_beta 90.00
_cell_angle_gamma 90.00
_space_group_name_H-M_alt 'A m m 2'
_space_group_IT_number 38
loop_
_space_group_symop_operation_xyz
'x,y,z'
'-x,-y,z'
'-x,y,z'
'x,-y,z'
'x,y+1/2,z+1/2'
'-x,-y+1/2,z+1/2'
'-x,y+1/2,z+1/2'
'x,-y+1/2,z+1/2'
loop_
_atom_site_label
_atom_site_fract_x
_atom_site_fract_y
_atom_site_fract_z
Nd1 0.000 0.000 0.000
Th1 0.500 0.000 0.275
Ir1 0.000 0.000 0.741
Pd1 0.500 0.000 0.556
```


--- Q ---
NdThIrPd | GGA-PBE | relaxed

Cell and atoms, written as CIF:
```
data_NdThIrPd
_chemical_formula_sum 'Nd4 Th4 Ir4 Pd4'
_cell_length_a 7.182
_cell_length_b 7.182
_cell_length_c 7.182
_cell_angle_alpha 90.00
_cell_angle_beta 90.00
_cell_angle_gamma 90.00
_space_group_name_H-M_alt 'F -4 3 m'
_space_group_IT_number 216
_space_group_name_Hall 'F -4 2 3'
loop_
_atom_site_label
_atom_site_fract_x
_atom_site_fract_y
_atom_site_fract_z
Nd1 0.000 0.000 0.000
Th1 0.000 0.000 0.500
Ir1 0.250 0.250 0.750
Pd1 0.250 0.250 0.250
```


Which one sits at the top of the stability order? P does.


--- P ---
Pm2NdIr2 | GGA-PBE | relaxed

Cell and atoms, written as CIF:
```
data_Pm2NdIr2
_chemical_formula_sum 'Pm4 Nd2 Ir4'
_cell_length_a 5.752
_cell_length_b 4.458
_cell_length_c 10.710
_cell_angle_alpha 90.00
_cell_angle_beta 98.66
_cell_angle_gamma 90.00
_space_group_name_H-M_alt 'P 1 21/m 1'
_space_group_IT_number 11
loop_
_space_group_symop_operation_xyz
'x,y,z'
'-x,-y,-z'
'-x,y+1/2,-z'
'x,-y+1/2,z'
loop_
_atom_site_label
_atom_site_fract_x
_atom_site_fract_y
_atom_site_fract_z
Pm1 0.113 0.250 0.386
Pm2 0.231 0.750 0.966
Nd1 0.453 0.250 0.710
Ir1 0.305 0.250 0.137
Ir2 0.344 0.750 0.532
```


--- Q ---
Pm2NdIr2 | GGA-PBE | relaxed

Cell and atoms, written as CIF:
```
data_Pm2NdIr2
_chemical_formula_sum 'Pm4 Nd2 Ir4'
_cell_length_a 4.952
_cell_length_b 4.968
_cell_length_c 10.558
_cell_angle_alpha 90.00
_cell_angle_beta 90.02
_cell_angle_gamma 90.00
_space_group_name_H-M_alt 'P 1 21/m 1'
_space_group_IT_number 11
loop_
_space_group_symop_operation_xyz
'x,y,z'
'-x,-y,-z'
'-x,y+1/2,-z'
'x,-y+1/2,z'
loop_
_atom_site_label
_atom_site_fract_x
_atom_site_fract_y
_atom_site_fract_z
Pm1 0.250 0.250 0.001
Pm2 0.250 0.250 0.336
Nd1 0.251 0.250 0.667
Ir1 0.249 0.750 0.489
Ir2 0.250 0.750 0.842
```


Which one sits at the top of the stability order? P does.


--- P ---
Pm3NdIr3 | GGA-PBE | relaxed

Cell and atoms, written as CIF:
```
data_Pm3NdIr3
_chemical_formula_sum 'Pm18 Nd6 Ir18'
_cell_length_a 8.6777
_cell_length_b 8.6777
_cell_length_c 17.1532
_cell_angle_alpha 90.00
_cell_angle_beta 90.00
_cell_angle_gamma 120.00
_space_group_name_H-M_alt 'R -3'
_space_group_IT_number 148
_space_group_name_Hall '-R 3'
loop_
_atom_site_label
_atom_site_fract_x
_atom_site_fract_y
_atom_site_fract_z
Pm1 0.0154 0.2831 0.1013
Nd1 0.0000 0.0000 0.3268
Ir1 0.0069 0.3749 0.9357
```


--- Q ---
Pm3NdIr3 | GGA-PBE | relaxed

Cell and atoms, written as CIF:
```
data_Pm3NdIr3
_chemical_formula_sum 'Pm12 Nd4 Ir12'
_cell_length_a 11.062
_cell_length_b 9.485
_cell_length_c 7.141
_cell_angle_alpha 90.00
_cell_angle_beta 105.08
_cell_angle_gamma 90.00
_space_group_name_H-M_alt 'C 1 2/m 1'
_space_group_IT_number 12
loop_
_space_group_symop_operation_xyz
'x,y,z'
'-x,-y,-z'
'-x,y,-z'
'x,-y,z'
'x+1/2,y+1/2,z'
'-x+1/2,-y+1/2,-z'
'-x+1/2,y+1/2,-z'
'x+1/2,-y+1/2,z'
loop_
_atom_site_label
_atom_site_fract_x
_atom_site_fract_y
_atom_site_fract_z
Pm1 0.000 0.189 0.000
Pm2 0.000 0.271 0.500
Pm3 0.201 0.500 0.992
Nd1 0.221 0.000 0.461
Ir1 0.052 0.000 0.715
Ir2 0.236 0.252 0.772
```


Which one sits at the top of the stability order? P does.


--- P ---
Pm3NdIr2 | GGA-PBE | relaxed

Cell and atoms, written as CIF:
```
data_Pm3NdIr2
_chemical_formula_sum 'Pm12 Nd4 Ir8'
_cell_length_a 15.546
_cell_length_b 4.829
_cell_length_c 8.804
_cell_angle_alpha 90.00
_cell_angle_beta 97.98
_cell_angle_gamma 90.00
_space_group_name_H-M_alt 'C 1 2/m 1'
_space_group_IT_number 12
loop_
_space_group_symop_operation_xyz
'x,y,z'
'-x,-y,-z'
'-x,y,-z'
'x,-y,z'
'x+1/2,y+1/2,z'
'-x+1/2,-y+1/2,-z'
'-x+1/2,y+1/2,-z'
'x+1/2,-y+1/2,z'
loop_
_atom_site_label
_atom_site_fract_x
_atom_site_fract_y
_atom_site_fract_z
Pm1 0.047 0.000 0.340
Pm2 0.103 0.500 0.089
Pm3 0.174 0.500 0.531
Nd1 0.175 0.000 0.839
Ir1 0.049 0.500 0.749
Ir2 0.203 0.000 0.193
```


--- Q ---
Pm3NdIr2 | GGA-PBE | relaxed

Cell and atoms, written as CIF:
```
data_Pm3NdIr2
_chemical_formula_sum 'Pm6 Nd2 Ir4'
_cell_length_a 4.823
_cell_length_b 8.960
_cell_length_c 7.363
_cell_angle_alpha 90.00
_cell_angle_beta 90.00
_cell_angle_gamma 90.00
_space_group_name_H-M_alt 'P m c 21'
_space_group_IT_number 26
loop_
_space_group_symop_operation_xyz
'x,y,z'
'-x,-y,z+1/2'
'-x,y,z'
'x,-y,z+1/2'
loop_
_atom_site_label
_atom_site_fract_x
_atom_site_fract_y
_atom_site_fract_z
Pm1 0.000 0.087 0.000
Pm2 0.000 0.336 0.365
Pm3 0.500 0.162 0.645
Nd1 0.500 0.414 0.009
Ir1 0.000 0.332 0.760
Ir2 0.500 0.166 0.249
```


Which one sits at the top of the stability order? Q does.